Here is a crystal of Na3P4O12 relaxed with PBEsol from Alexandria. Energies are from meta-GGA SCAN.

Unit cell a=8.5603 b=10.0414 c=11.4952 alpha=90.00 beta=90.42 gamma=90.00
Each line ends with the local moment (μB).
Element x y z (fractional)
Na1 0.4151 0.4763 0.7561  0.00
Na2 0.9151 0.0237 0.2561  0.00
Na3 0.5849 0.5237 0.2439  0.00
Na4 0.0849 0.9763 0.7439  0.00
Na5 0.0430 0.5248 0.6645  0.00
Na6 0.5430 0.9752 0.1645  0.00
Na7 0.9570 0.4752 0.3355  0.00
Na8 0.4570 0.0248 0.8355  0.00
Na9 0.6869 0.4949 0.5455  0.00
Na10 0.1869 0.0051 0.0455  0.00
Na11 0.3131 0.5051 0.4545  0.00
Na12 0.8131 0.9949 0.9545  0.00
P1 0.9193 0.2259 0.5287  -0.01
P2 0.4193 0.2741 0.0287  -0.01
P3 0.0807 0.7741 0.4713  -0.01
P4 0.5807 0.7259 0.9713  -0.01
P5 0.7401 0.2465 0.7419  0.00
P6 0.2401 0.2535 0.2419  0.00
P7 0.2599 0.7535 0.2581  0.00
P8 0.7599 0.7465 0.7581  0.00
P9 0.5107 0.7801 0.5878  -0.01
P10 0.0107 0.7199 0.0878  -0.01
P11 0.4893 0.2199 0.4122  -0.01
P12 0.9893 0.2801 0.9122  -0.01
P13 0.2540 0.2235 0.6114  0.00
P14 0.7540 0.2765 0.1114  0.00
P15 0.7460 0.7765 0.3886  0.00
P16 0.2460 0.7235 0.8886  0.00
O1 0.8187 0.1657 0.6339  0.01
O2 0.3187 0.3343 0.1339  0.01
O3 0.1813 0.8343 0.3661  0.01
O4 0.6813 0.6657 0.8661  0.01
O5 0.9135 0.3744 0.5279  0.01
O6 0.4135 0.1256 0.0279  0.01
O7 0.0865 0.6256 0.4721  0.01
O8 0.5865 0.8744 0.9721  0.01
O9 0.1235 0.8491 0.5818  0.36
O10 0.6235 0.6509 0.0818  0.36
O11 0.8765 0.1509 0.4182  0.36
O12 0.3765 0.3491 0.9182  0.36
O13 0.6016 0.8197 0.7062  0.01
O14 0.1016 0.6803 0.2062  0.01
O15 0.3984 0.1803 0.2938  0.01
O16 0.8984 0.3197 0.7938  0.01
O17 0.8137 0.6446 0.6732  0.01
O18 0.3137 0.8554 0.1732  0.01
O19 0.1863 0.3554 0.3268  0.01
O20 0.6863 0.1446 0.8268  0.01
O21 0.6335 0.3521 0.6973  0.01
O22 0.1335 0.1479 0.1973  0.01
O23 0.3665 0.6479 0.3027  0.01
O24 0.8665 0.8521 0.8027  0.01
O25 0.3652 0.1777 0.5074  0.03
O26 0.8652 0.3223 0.0074  0.03
O27 0.6348 0.8223 0.4926  0.03
O28 0.1348 0.6777 0.9926  0.03
O29 0.3815 0.8842 0.5756  0.41
O30 0.8815 0.6158 0.0756  0.41
O31 0.6185 0.1158 0.4244  0.41
O32 0.1185 0.3842 0.9244  0.41
O33 0.4712 0.6351 0.5847  0.03
O34 0.9712 0.8649 0.0847  0.03
O35 0.5288 0.3649 0.4153  0.03
O36 0.0288 0.1351 0.9153  0.03
O37 0.0886 0.1683 0.5599  0.03
O38 0.5886 0.3317 0.0599  0.03
O39 0.9114 0.8317 0.4401  0.03
O40 0.4114 0.6683 0.9401  0.03
O41 0.2517 0.3725 0.6194  0.03
O42 0.7517 0.1275 0.1194  0.03
O43 0.7483 0.6275 0.3806  0.03
O44 0.2483 0.8725 0.8806  0.03
O45 0.2867 0.1398 0.7154  0.05
O46 0.7867 0.3602 0.2154  0.05
O47 0.7133 0.8602 0.2846  0.05
O48 0.2133 0.6398 0.7846  0.05

Here is a crystal of Na3PO relaxed with PBEsol from Alexandria. Energies are from meta-GGA SCAN.

Unit cell a=5.3026 b=5.3026 c=5.3026 alpha=90.00 beta=90.00 gamma=90.00
Each line ends with the local moment (μB).
Element x y z (fractional)
P1 0.0000 0.0000 0.0000  0.35
O1 0.5000 0.5000 0.5000  1.03
Na1 0.0000 0.5000 0.0000  0.01
Na2 0.0000 0.0000 0.5000  0.01
Na3 0.5000 0.0000 0.0000  0.01

Here is a crystal of Na4P6PbO18 relaxed with PBEsol from Alexandria. Energies are from meta-GGA SCAN.

Unit cell a=7.2977 b=7.8363 c=7.8060 alpha=117.79 beta=95.20 gamma=101.78
Element x y z (fractional)
Na1 0.8193 0.4799 0.6583
Na2 0.1739 0.5098 0.3416
Na3 0.5041 0.9991 0.4966
Na4 0.8693 0.0529 0.2371
P1 0.2326 0.3434 0.6613
P2 0.7713 0.6566 0.3324
P3 0.4903 0.7343 0.7769
P4 0.5081 0.2709 0.2197
P5 0.7779 0.2942 0.9761
P6 0.2319 0.6980 0.0245
Pb1 0.0937 0.9774 0.8040
O1 0.7544 0.2441 0.7656
O2 0.2566 0.7459 0.2339
O3 0.7027 0.8018 0.8091
O4 0.2938 0.2011 0.1696
O5 0.8047 0.5337 0.1099
O6 0.2089 0.4597 0.8893
O7 0.9316 0.2395 0.0660
O8 0.0735 0.7474 0.9331
O9 0.6231 0.2174 0.3463
O10 0.3605 0.7927 0.6646
O11 0.7457 0.8516 0.3645
O12 0.2680 0.1505 0.6291
O13 0.9230 0.6543 0.4758
O14 0.0739 0.3423 0.5252
O15 0.5661 0.5148 0.3163
O16 0.4328 0.4894 0.6727
O17 0.5732 0.2035 0.0100
O18 0.4352 0.7939 0.9905

Here is a crystal of Na3P6Pb2O18 relaxed with PBEsol from Alexandria. Energies are from meta-GGA SCAN.

Unit cell a=7.8989 b=7.8158 c=7.9283 alpha=117.34 beta=103.33 gamma=96.94
Each line ends with the local moment (μB).
Element x y z (fractional)
Na1 0.3418 0.6430 0.4629  0.00
Na2 0.6582 0.3570 0.5371  0.00
Na3 0.0000 0.5000 0.0000  0.00
P1 0.0147 0.2372 0.2892  0.01
P2 0.9853 0.7628 0.7108  0.01
P3 0.2723 0.3731 0.6831  0.00
P4 0.7277 0.6269 0.3169  0.00
P5 0.7447 0.9990 0.6612  0.00
P6 0.2553 0.0010 0.3388  0.00
Pb1 0.3764 0.1627 0.0178  0.20
Pb2 0.6236 0.8373 0.9822  0.20
O1 0.0821 0.3512 0.5324  0.00
O2 0.9179 0.6488 0.4676  0.00
O3 0.2282 0.7907 0.2900  0.00
O4 0.7718 0.2093 0.7100  0.00
O5 0.8126 0.1875 0.2206  0.01
O6 0.1874 0.8125 0.7794  0.01
O7 0.2515 0.4248 0.8810  0.01
O8 0.7485 0.5752 0.1190  0.01
O9 0.5766 0.5008 0.3307  0.00
O10 0.4234 0.4992 0.6693  0.00
O11 0.2855 0.1420 0.5763  0.00
O12 0.7145 0.8580 0.4237  0.00
O13 0.4018 0.0949 0.2900  0.01
O14 0.5982 0.9051 0.7100  0.01
O15 0.1208 0.3471 0.2185  0.01
O16 0.8792 0.6529 0.7815  0.01
O17 0.0654 0.0266 0.2355  0.00
O18 0.9346 0.9734 0.7645  0.00

Here is a crystal of Na2P2PbO7 relaxed with PBEsol from Alexandria. Energies are from meta-GGA SCAN.

Unit cell a=5.5015 b=6.9255 c=9.4283 alpha=106.02 beta=95.87 gamma=109.56
Element x y z (fractional)
Na1 0.3474 0.6261 0.7692
Na2 0.0813 0.2804 0.0008
Na3 0.9187 0.7196 0.9992
Na4 0.6526 0.3739 0.2308
P1 0.4810 0.8576 0.1554
P2 0.7409 0.3601 0.6367
P3 0.2591 0.6399 0.3633
P4 0.5190 0.1424 0.8446
Pb1 0.8651 0.8766 0.6280
Pb2 0.1349 0.1234 0.3720
O1 0.3621 0.6845 0.5298
O2 0.4960 0.2031 0.6884
O3 0.0224 0.7003 0.3286
O4 0.2294 0.0292 0.8477
O5 0.3322 0.0134 0.1751
O6 0.6379 0.3155 0.4702
O7 0.7867 0.5933 0.7361
O8 0.3289 0.6506 0.0231
O9 0.5040 0.7969 0.3116
O10 0.6711 0.3494 0.9769
O11 0.9776 0.2997 0.6714
O12 0.7706 0.9708 0.1523
O13 0.2133 0.4067 0.2639
O14 0.6678 0.9866 0.8249

Here is a crystal of Na2P4Pd3O14 relaxed with PBEsol from Alexandria. Energies are from meta-GGA SCAN.

Unit cell a=9.5184 b=9.5184 c=13.5137 alpha=90.00 beta=90.00 gamma=90.00
Element x y z (fractional)
Na1 0.6140 0.8860 0.2500
Na2 0.3860 0.1140 0.2500
Na3 0.8860 0.3860 0.7500
Na4 0.1140 0.6140 0.7500
Na5 0.8860 0.3860 0.2500
Na6 0.1140 0.6140 0.2500
Na7 0.3860 0.1140 0.7500
Na8 0.6140 0.8860 0.7500
P1 0.6520 0.2304 0.1050
P2 0.3480 0.7696 0.1050
P3 0.8480 0.7304 0.6050
P4 0.1520 0.2696 0.6050
P5 0.2304 0.3480 0.1050
P6 0.7696 0.6520 0.1050
P7 0.7304 0.1520 0.6050
P8 0.2696 0.8480 0.6050
P9 0.3480 0.7696 0.8950
P10 0.6520 0.2304 0.8950
P11 0.1520 0.2696 0.3950
P12 0.8480 0.7304 0.3950
P13 0.7696 0.6520 0.8950
P14 0.2304 0.3480 0.8950
P15 0.2696 0.8480 0.3950
P16 0.7304 0.1520 0.3950
Pd1 0.5000 0.5000 0.1829
Pd2 0.0000 0.0000 0.6829
Pd3 0.5000 0.5000 0.8171
Pd4 0.0000 0.0000 0.3171
Pd5 0.6833 0.9413 0.0000
Pd6 0.3167 0.0587 0.0000
Pd7 0.8167 0.4413 0.5000
Pd8 0.1833 0.5587 0.5000
Pd9 0.9413 0.3167 0.0000
Pd10 0.0587 0.6833 0.0000
Pd11 0.4413 0.1833 0.5000
Pd12 0.5587 0.8167 0.5000
O1 0.5891 0.2811 0.0000
O2 0.4108 0.7189 0.0000
O3 0.9108 0.7811 0.5000
O4 0.0891 0.2189 0.5000
O5 0.2811 0.4108 0.0000
O6 0.7189 0.5891 0.0000
O7 0.7811 0.0891 0.5000
O8 0.2189 0.9108 0.5000
O9 0.6320 0.0708 0.1125
O10 0.3680 0.9292 0.1125
O11 0.8680 0.5708 0.6125
O12 0.1320 0.4292 0.6125
O13 0.0708 0.3680 0.1125
O14 0.9292 0.6320 0.1125
O15 0.5708 0.1320 0.6125
O16 0.4292 0.8680 0.6125
O17 0.3680 0.9292 0.8875
O18 0.6320 0.0708 0.8875
O19 0.1320 0.4292 0.3875
O20 0.8680 0.5708 0.3875
O21 0.9292 0.6320 0.8875
O22 0.0708 0.3680 0.8875
O23 0.4292 0.8680 0.3875
O24 0.5708 0.1320 0.3875
O25 0.7020 0.5620 0.1859
O26 0.2980 0.4380 0.1859
O27 0.7980 0.0620 0.6859
O28 0.2020 0.9380 0.6859
O29 0.5620 0.2980 0.1859
O30 0.4380 0.7020 0.1859
O31 0.0620 0.2020 0.6859
O32 0.9380 0.7980 0.6859
O33 0.2980 0.4380 0.8141
O34 0.7020 0.5620 0.8141
O35 0.2020 0.9380 0.3141
O36 0.7980 0.0620 0.3141
O37 0.4380 0.7020 0.8141
O38 0.5620 0.2980 0.8141
O39 0.9380 0.7980 0.3141
O40 0.0620 0.2020 0.3141
O41 0.7215 0.8055 0.1094
O42 0.2785 0.1945 0.1094
O43 0.7785 0.3055 0.6094
O44 0.2215 0.6945 0.6094
O45 0.8055 0.2785 0.1094
O46 0.1945 0.7215 0.1094
O47 0.3055 0.2215 0.6094
O48 0.6945 0.7785 0.6094
O49 0.2785 0.1945 0.8906
O50 0.7215 0.8055 0.8906
O51 0.2215 0.6945 0.3906
O52 0.7785 0.3055 0.3906
O53 0.1945 0.7215 0.8906
O54 0.8055 0.2785 0.8906
O55 0.6945 0.7785 0.3906
O56 0.3055 0.2215 0.3906

Looking at E_tot for the records above, in order, we have -9.084 -5.755 -11.605 -13.943 -14.721 -12.197 eV per atom.
Looking at formation energy (no corrections) for the records above, in order, we have -2.293 0.100 -2.391 -2.261 -2.335 -1.954 eV/atom.